1.
VASP calculation (PBE-GGA) on a relaxed structure of TiTl2PI.

Cell: 5.412 5.570 5.412 Å, 90.00 90.00 90.00°
Last column: magnetic moment on the atom in μB.
Atoms (fractional coordinates):
Tl 0.000 0.000 0.500  -0.03
Tl 0.500 0.000 0.000  -0.03
I 0.000 0.500 0.000  -0.02
P 0.000 0.000 0.000  -0.02
Ti 0.500 0.500 0.500  -2.08

Computed properties:
Total energy (eV per cell): -15.6
Calculated volume (A^3/atom): 32.6
Total moment (Bohr magnetons per cell): 3.0
Formation energy from raw total energies (eV/atom): 0.80
Space group: No. 123



2.
VASP calculation (PBE-GGA) on a relaxed structure of RbTcCl4.

Cell: 6.608 7.137 10.093 Å, 110.71 113.65 90.00°
Last column: magnetic moment on the atom in μB.
Atoms (fractional coordinates):
Tc 0.115 0.427 0.854  3.04
Tc 0.885 0.573 0.146  3.04
Cl 0.286 0.151 0.776  0.09
Cl 0.714 0.375 0.224  0.09
Cl 0.000 0.270 0.000  0.05
Cl 0.247 0.699 0.399  0.15
Cl 0.714 0.849 0.224  0.09
Cl 0.000 0.730 0.000  0.05
Cl 0.286 0.625 0.776  0.09
Cl 0.753 0.301 0.601  0.15
Rb 0.806 0.783 0.567  0.00
Rb 0.194 0.217 0.433  0.00

Computed properties:
Total energy (eV per cell): -49.2
Calculated volume (A^3/atom): 33.5
Total moment (Bohr magnetons per cell): 8.0
Formation energy from raw total energies (eV/atom): -0.98
Space group: No. 12



3.
VASP calculation (PBE-GGA) on a relaxed structure of K3PtSe2.

Cell: 8.075 7.810 8.429 Å, 117.60 118.62 90.00°
Atoms (fractional coordinates):
Se 0.743 0.938 0.877
Se 0.867 0.562 0.123
Se 0.133 0.438 0.877
Se 0.257 0.062 0.123
Pt 0.000 0.250 0.000
Pt 0.000 0.750 0.000
K 0.500 0.250 0.000
K 0.342 0.692 0.383
K 0.959 0.808 0.617
K 0.500 0.750 0.000
K 0.041 0.192 0.383
K 0.658 0.308 0.617

Computed properties:
Total energy (eV per cell): -40.4
Calculated volume (A^3/atom): 33.0
Total moment (Bohr magnetons per cell): 0.0
Formation energy from raw total energies (eV/atom): -0.65
Space group: No. 72



4.
VASP calculation (PBE-GGA) on a relaxed structure of LaLuAg2.

Cell: 5.233 5.233 5.260 Å, 60.17 60.17 60.00°
Atoms (fractional coordinates):
Ag 0.752 0.752 0.743
Ag 0.248 0.248 0.257
La 0.000 0.000 0.000
Lu 0.500 0.500 0.500

Computed properties:
Total energy (eV per cell): -16.2
Calculated volume (A^3/atom): 25.5
Total moment (Bohr magnetons per cell): 0.0
Space group: No. 166
ΔH_f (0 K) (eV per atom): -0.268



Question: Which formula does entry 2 have?
Answer: RbTcCl4



Please write out number 1 again, unchanged.
VASP calculation (PBE-GGA) on a relaxed structure of TiTl2PI.

Cell: 5.412 5.570 5.412 Å, 90.00 90.00 90.00°
Last column: magnetic moment on the atom in μB.
Atoms (fractional coordinates):
Tl 0.000 0.000 0.500  -0.03
Tl 0.500 0.000 0.000  -0.03
I 0.000 0.500 0.000  -0.02
P 0.000 0.000 0.000  -0.02
Ti 0.500 0.500 0.500  -2.08

Computed properties:
Total energy (eV per cell): -15.6
Calculated volume (A^3/atom): 32.6
Total moment (Bohr magnetons per cell): 3.0
Formation energy from raw total energies (eV/atom): 0.80
Space group: No. 123